This record from Alexandria via LeMat-Bulk describes an optimized crystal structure of MgCrW. The functional is GGA-PBE.

Cell: 4.4235 4.4235 2.6703 Å, 90.00 90.00 120.00°
Space group P3m1 (No. 156)
Inequivalent atoms, fractional coordinates:
Mg  0.0000  0.0000  0.0000 x1
Cr  0.3333  0.6667  0.6591 x1
W  0.6667  0.3333  0.4104 x1

Values from the calculation:
- distance to the lowest polymorph of the same formula (meV/atom) = 18
- crystal system = trigonal


This record from Alexandria via LeMat-Bulk describes an optimized crystal structure of YMgCr2W. The functional is GGA-PBE.

Cell: 4.425 4.425 4.991 Å, 90.00 90.00 90.00°
Space group P4/mmm (No. 123)
Inequivalent atoms, fractional coordinates:
Y  0.000  0.000  0.000 x1
Mg  0.000  0.000  0.500 x1
Cr  0.000  0.500  0.500 x2
W  0.500  0.500  0.000 x1

Values from the calculation:
- crystal system = tetragonal


This record from Alexandria via LeMat-Bulk describes an optimized crystal structure of YMgCr2. The functional is GGA-PBE.

Cell: 9.606 3.418 5.367 Å, 90.00 114.58 90.00°
Space group C2/m (No. 12)
Inequivalent atoms, fractional coordinates:
Y  0.000  0.000  0.000 x2
Mg  0.000  0.500  0.500 x2
Cr  0.240  0.000  0.624 x4

Values from the calculation:
- crystal system = monoclinic


This record from Alexandria via LeMat-Bulk describes an optimized crystal structure of YMg3Cr. The functional is GGA-PBE.

Cell: 5.051 5.051 5.051 Å, 90.00 90.00 90.00°
Space group Pm-3m (No. 221)
Inequivalent atoms, fractional coordinates:
Y  0.000  0.000  0.000 x1
Mg  0.000  0.500  0.500 x3
Cr  0.500  0.500  0.500 x1

Values from the calculation:
- distance to the lowest polymorph of the same formula (meV/atom) = 0
- crystal system = cubic


This record from Alexandria via LeMat-Bulk describes an optimized crystal structure of YMgCr2. The functional is GGA-PBE.

Cell: 7.635 7.635 6.088 Å, 90.00 90.00 90.00°
Space group I-42d (No. 122)
Inequivalent atoms, fractional coordinates:
Y  0.000  0.000  0.000 x4
Mg  0.000  0.000  0.500 x4
Cr  0.232  0.250  0.625 x8

Values from the calculation:
- crystal system = tetragonal


This record from Alexandria via LeMat-Bulk describes an optimized crystal structure of YMg4Cr. The functional is GGA-PBE.

Cell: 8.211 8.211 8.211 Å, 90.00 90.00 90.00°
Space group F-43m (No. 216)
Inequivalent atoms, fractional coordinates:
Y  0.000  0.000  0.000 x4
Mg  0.125  0.125  0.375 x16
Cr  0.250  0.250  0.750 x4

Values from the calculation:
- crystal system = cubic


This record from Alexandria via LeMat-Bulk describes an optimized crystal structure of YMgCr4. The functional is GGA-PBE.

Cell: 7.202 7.202 7.202 Å, 90.00 90.00 90.00°
Space group F-43m (No. 216)
Inequivalent atoms, fractional coordinates:
Y  0.000  0.000  0.000 x4
Mg  0.250  0.250  0.250 x4
Cr  0.125  0.125  0.625 x16

Values from the calculation:
- crystal system = cubic


This record from Alexandria via LeMat-Bulk describes an optimized crystal structure of YMgCr2. The functional is GGA-PBE.

Cell: 3.906 3.925 9.077 Å, 90.00 90.00 90.00°
Space group Cmmm (No. 65)
Inequivalent atoms, fractional coordinates:
Y  0.000  0.000  0.000 x2
Mg  0.000  0.000  0.500 x2
Cr  0.000  0.500  0.264 x4

Values from the calculation:
- crystal system = orthorhombic


| no. | electronic total energy (eV per cell) |
| --- | --- |
| 1 | -22.963 |
| 2 | -29.101 |
| 3 | -50.031 |
| 4 | -18.343 |
| 5 | -95.722 |
| 6 | -85.132 |
| 7 | -176.699 |
| 8 | -47.652 |